1.
VASP calculation (PBE) on a geometry-optimized BeFeHgB structure.

Output
The calculation puts the density at 9558 kg/m³. The value obtained for the total moment is 1.7 μB/f.u.

POSCAR file:
```
BeFeHgB
1.0
-2.1447 -1.0337 -3.3123
-2.8511 2.5287 -1.4549
0.6182 1.9598 -3.5237
B Fe Be Hg
1 1 1 1
direct
0.0000 0.0000 0.0000 B
0.7500 0.7500 0.7500 Fe
0.2500 0.2500 0.2500 Be
0.5000 0.5000 0.5000 Hg
```

***

2.
VASP calculation (PBE) on a geometry-optimized LiBeFeB structure.

Output
The calculation puts the density at 4261 kg/m³. The value obtained for the total moment is 0.0 μB/f.u.

POSCAR file:
```
LiBeFeB
1.0
0.0000 2.5249 2.5249
2.5249 0.0000 2.5249
2.5249 2.5249 0.0000
Be Fe Li B
1 1 1 1
direct
0.2500 0.2500 0.2500 Be
0.7500 0.7500 0.7500 Fe
0.5000 0.5000 0.5000 Li
0.0000 0.0000 0.0000 B
```

***

3.
VASP calculation (PBE) on a geometry-optimized LiBeFeB structure.

Output
The calculation puts the density at 4193 kg/m³. The value obtained for the total moment is 0.0 μB/f.u.

POSCAR file:
```
LiBeFeB
1.0
-2.5013 -0.5790 2.5091
-2.3652 2.5778 0.8051
-3.4433 -0.3634 -0.9483
Be Fe B Li
1 1 1 1
direct
0.5000 0.5000 0.5000 Be
0.7500 0.7500 0.7500 Fe
0.0000 0.0000 0.0000 B
0.2500 0.2500 0.2500 Li
```

***

4.
VASP calculation (PBE) on a geometry-optimized LuBeFeB structure.

Output
The calculation puts the density at 8714 kg/m³. The value obtained for the total moment is 1.5 μB/f.u.

POSCAR file:
```
LuBeFeB
1.0
0.0000 2.8797 2.8797
2.8797 0.0000 2.8797
2.8797 2.8797 0.0000
B Fe Be Lu
1 1 1 1
direct
0.0000 0.0000 0.0000 B
0.7500 0.7500 0.7500 Fe
0.2500 0.2500 0.2500 Be
0.5000 0.5000 0.5000 Lu
```

***

5.
VASP calculation (PBE) on a geometry-optimized LuBeFeB structure.

Output
The calculation puts the density at 8704 kg/m³. The value obtained for the total moment is 1.4 μB/f.u.

POSCAR file:
```
LuBeFeB
1.0
0.0000 2.8808 2.8808
2.8808 0.0000 2.8808
2.8808 2.8808 0.0000
Lu B Be Fe
1 1 1 1
direct
0.2500 0.2500 0.2500 Lu
0.0000 0.0000 0.0000 B
0.5000 0.5000 0.5000 Be
0.7500 0.7500 0.7500 Fe
```

***

6.
VASP calculation (PBE) on a geometry-optimized MgBeFeB structure.

Output
The calculation puts the density at 4249 kg/m³. The value obtained for the total moment is 0.7 μB/f.u.

POSCAR file:
```
MgBeFeB
1.0
2.5207 0.9930 2.6773
-0.2506 3.4086 1.6811
-1.0890 0.2522 3.6412
B Be Fe Mg
1 1 1 1
direct
0.0000 0.0000 0.0000 B
0.5000 0.5000 0.5000 Be
0.7500 0.7500 0.7500 Fe
0.2500 0.2500 0.2500 Mg
```

***

7.
VASP calculation (PBE) on a geometry-optimized MgBeFeB structure.

Output
The calculation puts the density at 4184 kg/m³. The value obtained for the total moment is 0.0 μB/f.u.

POSCAR file:
```
MgBeFeB
1.0
-1.7637 -3.1623 1.2439
-2.7935 0.2649 2.6045
-3.6285 -0.6903 -1.0077
Mg B Be Fe
1 1 1 1
direct
0.5000 0.5000 0.5000 Mg
0.0000 0.0000 0.0000 B
0.2500 0.2500 0.2500 Be
0.7500 0.7500 0.7500 Fe
```

***

8.
VASP calculation (PBE) on a geometry-optimized BeFeBMo structure.

Output
The calculation puts the density at 7244 kg/m³. The value obtained for the total moment is 1.5 μB/f.u.

POSCAR file:
```
BeFeBMo
1.0
0.0000 2.6994 2.6994
2.6994 0.0000 2.6994
2.6994 2.6994 0.0000
Mo B Be Fe
1 1 1 1
direct
0.2500 0.2500 0.2500 Mo
0.0000 0.0000 0.0000 B
0.5000 0.5000 0.5000 Be
0.7500 0.7500 0.7500 Fe
```

***

9.
VASP calculation (PBE) on a geometry-optimized BeFeBOs structure.

Output
The calculation puts the density at 11552 kg/m³. The value obtained for the total moment is 1.7 μB/f.u.

POSCAR file:
```
BeFeBOs
1.0
0.0000 2.6736 2.6736
2.6736 0.0000 2.6736
2.6736 2.6736 0.0000
Os B Fe Be
1 1 1 1
direct
0.2500 0.2500 0.2500 Os
0.0000 0.0000 0.0000 B
0.7500 0.7500 0.7500 Fe
0.5000 0.5000 0.5000 Be
```

***

10.
VASP calculation (PBE) on a geometry-optimized BeFeBOs structure.

Output
The calculation puts the density at 10848 kg/m³. The value obtained for the total moment is 2.1 μB/f.u.

POSCAR file:
```
BeFeBOs
1.0
0.0000 2.7302 2.7302
2.7302 0.0000 2.7302
2.7302 2.7302 0.0000
Be B Os Fe
1 1 1 1
direct
0.2500 0.2500 0.2500 Be
0.0000 0.0000 0.0000 B
0.5000 0.5000 0.5000 Os
0.7500 0.7500 0.7500 Fe
```

***

11.
VASP calculation (PBE) on a geometry-optimized BeFeBPt structure.

Output
The calculation puts the density at 10341 kg/m³. The value obtained for the total moment is 2.3 μB/f.u.

POSCAR file:
```
BeFeBPt
1.0
0.0000 2.7909 2.7909
2.7909 0.0000 2.7909
2.7909 2.7909 0.0000
Pt Fe Be B
1 1 1 1
direct
0.5000 0.5000 0.5000 Pt
0.7500 0.7500 0.7500 Fe
0.2500 0.2500 0.2500 Be
0.0000 0.0000 0.0000 B
```

***

12.
VASP calculation (PBE) on a geometry-optimized BeFeBPt structure.

Output
The calculation puts the density at 11716 kg/m³. The value obtained for the total moment is 0.0 μB/f.u.

POSCAR file:
```
BeFeBPt
1.0
0.0000 2.6771 2.6771
2.6771 0.0000 2.6771
2.6771 2.6771 0.0000
Be B Pt Fe
1 1 1 1
direct
0.5000 0.5000 0.5000 Be
0.0000 0.0000 0.0000 B
0.2500 0.2500 0.2500 Pt
0.7500 0.7500 0.7500 Fe
```

***

13.
VASP calculation (PBE) on a geometry-optimized BeFeReB structure.

Output
The calculation puts the density at 11107 kg/m³. The value obtained for the total moment is 2.2 μB/f.u.

POSCAR file:
```
BeFeReB
1.0
0.0000 2.6951 2.6951
2.6951 0.0000 2.6951
2.6951 2.6951 0.0000
Fe B Re Be
1 1 1 1
direct
0.7500 0.7500 0.7500 Fe
0.0000 0.0000 0.0000 B
0.2500 0.2500 0.2500 Re
0.5000 0.5000 0.5000 Be
```

***

14.
VASP calculation (PBE) on a geometry-optimized BeFeBSb structure.

Output
The calculation puts the density at 6692 kg/m³. The value obtained for the total moment is 1.4 μB/f.u.

POSCAR file:
```
BeFeBSb
1.0
-2.6371 -3.1237 0.3959
-1.4504 -1.0056 3.7086
-3.9304 0.7367 0.9368
Sb Fe B Be
1 1 1 1
direct
0.0000 0.0000 0.0000 Sb
0.5000 0.5000 0.5000 Fe
0.2500 0.2500 0.2500 B
0.7500 0.7500 0.7500 Be
```

***

15.
VASP calculation (PBE) on a geometry-optimized BeFeBSb structure.

Output
The calculation puts the density at 6733 kg/m³. The value obtained for the total moment is 0.0 μB/f.u.

POSCAR file:
```
BeFeBSb
1.0
1.8345 -0.7200 3.5940
1.8946 3.0475 1.9807
-1.6043 1.5063 3.4579
Sb Fe Be B
1 1 1 1
direct
0.0000 0.0000 0.0000 Sb
0.2500 0.2500 0.2500 Fe
0.7500 0.7500 0.7500 Be
0.5000 0.5000 0.5000 B
```

***

16.
VASP calculation (PBE) on a geometry-optimized ScBeFeB structure.

Output
The calculation puts the density at 4665 kg/m³. The value obtained for the total moment is 1.1 μB/f.u.

POSCAR file:
```
ScBeFeB
1.0
1.4877 0.3850 3.6176
1.2011 3.5216 1.2665
-2.0427 1.8925 2.7738
Sc Fe Be B
1 1 1 1
direct
0.0000 0.0000 0.0000 Sc
0.5000 0.5000 0.5000 Fe
0.7500 0.7500 0.7500 Be
0.2500 0.2500 0.2500 B
```

***

17.
VASP calculation (PBE) on a geometry-optimized ScBeFeB structure.

Output
The calculation puts the density at 4666 kg/m³. The value obtained for the total moment is 0.0 μB/f.u.

POSCAR file:
```
ScBeFeB
1.0
-2.0183 -3.3258 0.5585
-1.2980 -0.9314 3.5908
-3.8455 0.1455 0.7985
B Sc Fe Be
1 1 1 1
direct
0.2500 0.2500 0.2500 B
0.7500 0.7500 0.7500 Sc
0.0000 0.0000 0.0000 Fe
0.5000 0.5000 0.5000 Be
```

***

18.
VASP calculation (PBE) on a geometry-optimized ScBeFeB structure.

Output
The calculation puts the density at 4511 kg/m³. The value obtained for the total moment is 0.7 μB/f.u.

POSCAR file:
```
ScBeFeB
1.0
0.0000 2.8105 2.8105
2.8105 0.0000 2.8105
2.8105 2.8105 0.0000
Fe Sc Be B
1 1 1 1
direct
0.5000 0.5000 0.5000 Fe
0.2500 0.2500 0.2500 Sc
0.7500 0.7500 0.7500 Be
0.0000 0.0000 0.0000 B
```

***

19.
VASP calculation (PBE) on a geometry-optimized TaBeFeB structure.

Output
The calculation puts the density at 10150 kg/m³. The value obtained for the total moment is 0.0 μB/f.u.

POSCAR file:
```
TaBeFeB
1.0
-2.4317 -1.5930 2.6016
-3.7543 1.0584 0.0640
-2.7521 -2.5011 -1.1788
B Be Ta Fe
1 1 1 1
direct
0.0000 0.0000 0.0000 B
0.2500 0.2500 0.2500 Be
0.5000 0.5000 0.5000 Ta
0.7500 0.7500 0.7500 Fe
```

***

20.
VASP calculation (PBE) on a geometry-optimized TaBeFeB structure.

Output
The calculation puts the density at 10353 kg/m³. The value obtained for the total moment is 0.0 μB/f.u.

POSCAR file:
```
TaBeFeB
1.0
0.0000 2.7404 2.7404
2.7404 0.0000 2.7404
2.7404 2.7404 0.0000
Ta Fe Be B
1 1 1 1
direct
0.5000 0.5000 0.5000 Ta
0.0000 0.0000 0.0000 Fe
0.7500 0.7500 0.7500 Be
0.2500 0.2500 0.2500 B
```

***

21.
VASP calculation (PBE) on a geometry-optimized TaBeFeB structure.

Output
The calculation puts the density at 9881 kg/m³. The value obtained for the total moment is 0.0 μB/f.u.

POSCAR file:
```
TaBeFeB
1.0
1.6696 2.0671 2.9041
-0.9955 3.7671 0.5586
-2.1190 1.0289 3.1536
Ta Fe Be B
1 1 1 1
direct
0.2500 0.2500 0.2500 Ta
0.0000 0.0000 0.0000 Fe
0.7500 0.7500 0.7500 Be
0.5000 0.5000 0.5000 B
```

***

22.
VASP calculation (PBE) on a geometry-optimized BeFeBW structure.

Output
The calculation puts the density at 10463 kg/m³. The value obtained for the total moment is 0.3 μB/f.u.

POSCAR file:
```
BeFeBW
1.0
0.0000 2.7409 2.7409
2.7409 0.0000 2.7409
2.7409 2.7409 0.0000
Be W B Fe
1 1 1 1
direct
0.2500 0.2500 0.2500 Be
0.5000 0.5000 0.5000 W
0.0000 0.0000 0.0000 B
0.7500 0.7500 0.7500 Fe
```

***

23.
VASP calculation (PBE) on a geometry-optimized BeFeBW structure.

Output
The calculation puts the density at 10859 kg/m³. The value obtained for the total moment is 1.2 μB/f.u.

POSCAR file:
```
BeFeBW
1.0
0.0000 2.7072 2.7072
2.7072 0.0000 2.7072
2.7072 2.7072 0.0000
Be B Fe W
1 1 1 1
direct
0.5000 0.5000 0.5000 Be
0.0000 0.0000 0.0000 B
0.7500 0.7500 0.7500 Fe
0.2500 0.2500 0.2500 W
```

***

24.
VASP calculation (PBE) on a geometry-optimized BeGaBPd structure.

Output
The calculation puts the density at 7195 kg/m³.

POSCAR file:
```
BeGaBPd
1.0
0.0000 2.8278 2.8278
2.8278 0.0000 2.8278
2.8278 2.8278 0.0000
Ga Be B Pd
1 1 1 1
direct
0.0000 0.0000 0.0000 Ga
0.7500 0.7500 0.7500 Be
0.2500 0.2500 0.2500 B
0.5000 0.5000 0.5000 Pd
```

***

25.
VASP calculation (PBE) on a geometry-optimized BeGaBPd structure.

Output
The calculation puts the density at 6869 kg/m³.

POSCAR file:
```
BeGaBPd
1.0
-2.2082 1.3636 3.1242
-2.6495 3.0280 -0.5542
-3.9907 -0.7417 0.1432
Be Ga B Pd
1 1 1 1
direct
0.7500 0.7500 0.7500 Be
0.2500 0.2500 0.2500 Ga
0.0000 0.0000 0.0000 B
0.5000 0.5000 0.5000 Pd
```

***

26.
VASP calculation (PBE) on a geometry-optimized BeGaBPd structure.

Output
The calculation puts the density at 6926 kg/m³.

POSCAR file:
```
BeGaBPd
1.0
0.0000 2.8640 2.8640
2.8640 0.0000 2.8640
2.8640 2.8640 0.0000
Pd Be B Ga
1 1 1 1
direct
0.2500 0.2500 0.2500 Pd
0.7500 0.7500 0.7500 Be
0.5000 0.5000 0.5000 B
0.0000 0.0000 0.0000 Ga
```

***

27.
VASP calculation (PBE) on a geometry-optimized BeGaBPt structure.

Output
The calculation puts the density at 10329 kg/m³. The value obtained for the total moment is 0.0 μB/f.u.

POSCAR file:
```
BeGaBPt
1.0
0.0000 2.8389 2.8389
2.8389 0.0000 2.8389
2.8389 2.8389 0.0000
B Pt Be Ga
1 1 1 1
direct
0.2500 0.2500 0.2500 B
0.5000 0.5000 0.5000 Pt
0.7500 0.7500 0.7500 Be
0.0000 0.0000 0.0000 Ga
```

***

28.
VASP calculation (PBE) on a geometry-optimized BeGaBPt structure.

Output
The calculation puts the density at 9650 kg/m³. The value obtained for the total moment is 0.0 μB/f.u.

POSCAR file:
```
BeGaBPt
1.0
-1.5541 -3.7935 -0.2441
-3.7220 -0.7973 1.5415
-3.1459 -0.7717 -2.5246
Ga Be B Pt
1 1 1 1
direct
0.2500 0.2500 0.2500 Ga
0.7500 0.7500 0.7500 Be
0.0000 0.0000 0.0000 B
0.5000 0.5000 0.5000 Pt
```

***

29.
VASP calculation (PBE) on a geometry-optimized GdBeB structure.

Output
The calculation puts the density at 6222 kg/m³. The value obtained for the total moment is 0.0 μB/f.u.

POSCAR file:
```
GdBeB
1.0
-2.0904 -3.0779 -1.6205
-1.2446 -3.0666 2.3486
-3.9456 -0.4390 0.8420
B Be Gd
1 1 1
direct
0.0000 0.0000 0.0000 B
0.2500 0.2500 0.2500 Be
0.7500 0.7500 0.7500 Gd
```

***

Number 1: excess energy over the best structure of this formula in the dataset 0.71 eV/f.u.. Number 2: excess energy over the best structure of this formula in the dataset 0.14 eV/f.u.. Number 3: excess energy over the best structure of this formula in the dataset 0.00 eV/f.u.. Number 4: excess energy over the best structure of this formula in the dataset 1.49 eV/f.u.. Number 5: excess energy over the best structure of this formula in the dataset 0.00 eV/f.u.. Number 6: excess energy over the best structure of this formula in the dataset 0.00 eV/f.u.. Number 7: excess energy over the best structure of this formula in the dataset 0.88 eV/f.u.. Number 8: excess energy over the best structure of this formula in the dataset 0.00 eV/f.u.. Number 9: excess energy over the best structure of this formula in the dataset 0.00 eV/f.u.. Number 10: excess energy over the best structure of this formula in the dataset 1.97 eV/f.u.. Number 11: excess energy over the best structure of this formula in the dataset 2.21 eV/f.u.. Number 12: excess energy over the best structure of this formula in the dataset 0.00 eV/f.u.. Number 13: excess energy over the best structure of this formula in the dataset 0.00 eV/f.u.. Number 14: excess energy over the best structure of this formula in the dataset 0.27 eV/f.u.. Number 15: excess energy over the best structure of this formula in the dataset 0.00 eV/f.u.. Number 16: excess energy over the best structure of this formula in the dataset 0.00 eV/f.u.. Number 17: excess energy over the best structure of this formula in the dataset 1.33 eV/f.u.. Number 18: excess energy over the best structure of this formula in the dataset 1.25 eV/f.u.. Number 19: excess energy over the best structure of this formula in the dataset 0.44 eV/f.u.. Number 20: excess energy over the best structure of this formula in the dataset 0.00 eV/f.u.. Number 21: excess energy over the best structure of this formula in the dataset 0.42 eV/f.u.. Number 22: excess energy over the best structure of this formula in the dataset 0.75 eV/f.u.. Number 23: excess energy over the best structure of this formula in the dataset 0.00 eV/f.u.. Number 24: excess energy over the best structure of this formula in the dataset 0.00 eV/f.u.. Number 25: excess energy over the best structure of this formula in the dataset 0.31 eV/f.u.. Number 26: excess energy over the best structure of this formula in the dataset 0.51 eV/f.u.. Number 27: excess energy over the best structure of this formula in the dataset 0.00 eV/f.u.. Number 28: excess energy over the best structure of this formula in the dataset 0.53 eV/f.u.. Number 29: excess energy over the best structure of this formula in the dataset 0.00 eV/f.u..